No. 1
Zn3B7ClO13: relaxed, PBE-GGA.

## Properties
Its space group is No. 161. The calculation puts the calculated density at 3.891 g/cm³. The total energy is -0.5161 Ry per atom.

Cell: 8.536 8.536 8.536 Å, 60.01 60.01 60.01°
Fractional positions:
Zn 0.044 0.477 0.479
Zn 0.477 0.479 0.044
Zn 0.479 0.044 0.477
Zn 0.544 0.979 0.977
Zn 0.977 0.544 0.979
Zn 0.979 0.977 0.544
B 0.081 0.081 0.776
B 0.081 0.776 0.081
B 0.110 0.110 0.110
B 0.255 0.762 0.256
B 0.256 0.255 0.762
B 0.262 0.755 0.756
B 0.276 0.581 0.581
B 0.581 0.276 0.581
B 0.581 0.581 0.276
B 0.610 0.610 0.610
B 0.755 0.756 0.262
B 0.756 0.262 0.755
B 0.762 0.256 0.255
B 0.776 0.081 0.081
Cl 0.275 0.275 0.275
Cl 0.775 0.775 0.775
O 0.106 0.260 0.723
O 0.112 0.953 0.274
O 0.118 0.699 0.943
O 0.199 0.618 0.443
O 0.210 0.444 0.763
O 0.223 0.760 0.606
O 0.260 0.723 0.106
O 0.263 0.944 0.710
O 0.274 0.112 0.953
O 0.443 0.199 0.618
O 0.444 0.763 0.210
O 0.453 0.612 0.774
O 0.497 0.497 0.497
O 0.606 0.223 0.760
O 0.612 0.774 0.453
O 0.618 0.443 0.199
O 0.699 0.943 0.118
O 0.710 0.263 0.944
O 0.723 0.106 0.260
O 0.760 0.606 0.223
O 0.763 0.210 0.444
O 0.774 0.453 0.612
O 0.943 0.118 0.699
O 0.944 0.710 0.263
O 0.953 0.274 0.112
O 0.997 0.997 0.997


No. 2
CoReSnPt: relaxed, PBE-GGA.

## Properties
Its space group is No. 216. The calculation puts the calculated density at 14.939 g/cm³. The total energy is -0.5206 Ry per atom.

Cell: 4.446 4.446 4.446 Å, 60.00 60.00 60.00°
Fractional positions:
Co 0.000 0.000 0.000
Re 0.500 0.500 0.500
Sn 0.750 0.750 0.750
Pt 0.250 0.250 0.250


No. 3
CuSnIrS3: relaxed, PBE-GGA.

## Properties
Its space group is No. 63. The calculation puts the calculated density at 7.263 g/cm³. The total energy is -0.3678 Ry per atom.

Cell: 6.614 6.614 9.150 Å, 90.00 90.00 147.47°
Fractional positions:
Cu 0.042 0.958 0.750
Cu 0.958 0.042 0.250
Sn 0.240 0.760 0.250
Sn 0.760 0.240 0.750
Ir 0.500 0.500 0.000
Ir 0.500 0.500 0.500
S 0.125 0.875 0.530
S 0.125 0.875 0.970
S 0.427 0.573 0.750
S 0.573 0.427 0.250
S 0.875 0.125 0.030
S 0.875 0.125 0.470


No. 4
InPPd5: relaxed, PBE-GGA.

## Properties
Its space group is No. 123. The calculation puts the calculated density at 10.067 g/cm³. The total energy is -0.3986 Ry per atom.

Cell: 3.985 3.985 7.040 Å, 90.00 90.00 90.00°
Fractional positions:
In 0.000 0.000 0.000
P 0.500 0.500 0.500
Pd 0.000 0.500 0.299
Pd 0.000 0.500 0.701
Pd 0.500 0.000 0.299
Pd 0.500 0.000 0.701
Pd 0.500 0.500 0.000


No. 5
K5Sb2Mo: relaxed, PBE-GGA.

## Properties
Its space group is No. 166. The calculation puts the calculated density at 2.828 g/cm³. The total energy is -0.2222 Ry per atom.

Cell: 10.319 10.319 10.319 Å, 34.48 34.48 34.48°
Fractional positions:
K 0.000 0.000 0.000
K 0.132 0.132 0.132
K 0.278 0.278 0.278
K 0.722 0.722 0.722
K 0.868 0.868 0.868
Sb 0.407 0.407 0.407
Sb 0.593 0.593 0.593
Mo 0.500 0.500 0.500


No. 6
CsErB: relaxed, PBE-GGA.

## Properties
Its space group is No. 216. The calculation puts the calculated density at 6.353 g/cm³. The total energy is -0.1806 Ry per atom.

Cell: 4.862 4.862 4.862 Å, 60.00 60.00 60.00°
Fractional positions:
Cs 0.000 0.000 0.000
Er 0.750 0.750 0.750
B 0.500 0.500 0.500


No. 7
Al5Ni: relaxed, PBE-GGA.

## Properties
Its space group is No. 194. The calculation puts the calculated density at 3.512 g/cm³. The total energy is -0.3057 Ry per atom.

Cell: 5.198 5.198 7.826 Å, 90.00 90.00 120.00°
Fractional positions:
Al 0.168 0.336 0.250
Al 0.168 0.832 0.250
Al 0.333 0.667 0.568
Al 0.333 0.667 0.932
Al 0.336 0.168 0.750
Al 0.664 0.832 0.250
Al 0.667 0.333 0.068
Al 0.667 0.333 0.432
Al 0.832 0.168 0.750
Al 0.832 0.664 0.750
Ni 0.000 0.000 0.000
Ni 0.000 0.000 0.500


No. 8
NdYSi2Au2: relaxed, PBE-GGA.

## Properties
Its space group is No. 164. The calculation puts the calculated density at 8.740 g/cm³. The total energy is -0.4113 Ry per atom.

Cell: 4.313 4.313 8.057 Å, 90.00 90.00 120.00°
Fractional positions:
Nd 0.000 0.000 0.000
Y 0.000 0.000 0.500
Si 0.333 0.667 0.255
Si 0.667 0.333 0.745
Au 0.333 0.667 0.737
Au 0.667 0.333 0.263